Here is a geometry-optimized Ag4Sb3S8 structure from Alexandria. Energies are from PBE.

abc: 7.672 7.672 7.757
angles: 120.23 120.23 88.83
Fractional positions:
Ag (0.000, 0.000, 0.000)
Ag (0.000, 0.500, 0.000)
Ag (0.500, 0.000, 0.000)
Ag (0.500, 0.500, 0.500)
Sb (0.000, 0.000, 0.500)
Sb (0.000, 0.500, 0.500)
Sb (0.500, 0.000, 0.500)
S (0.224, 0.224, 0.999)
S (0.229, 0.771, 0.000)
S (0.253, 0.747, 0.500)
S (0.283, 0.283, 0.575)
S (0.717, 0.717, 0.425)
S (0.747, 0.253, 0.500)
S (0.771, 0.229, 0.000)
S (0.776, 0.776, 0.001)

Properties
Distance to the lowest polymorph of the same formula ... 30 meV per atom
Calculated volume ... 21.6 Å³/atom
Size of the total moment ... 0.00 μB/f.u.
Energy ... -3.820 eV per atom
Symmetry ... No. 12
Crystal system ... monoclinic

---

Here is a geometry-optimized TmSi structure from Alexandria. Energies are from PBE.

abc: 4.223 12.619 6.241
angles: 90.00 90.00 90.00
Fractional positions:
Tm (0.000, 0.050, 0.250)
Tm (0.000, 0.224, 0.750)
Tm (0.000, 0.776, 0.250)
Tm (0.000, 0.950, 0.750)
Tm (0.500, 0.276, 0.250)
Tm (0.500, 0.450, 0.750)
Tm (0.500, 0.550, 0.250)
Tm (0.500, 0.724, 0.750)
Si (0.000, 0.402, 0.053)
Si (0.000, 0.402, 0.447)
Si (0.000, 0.598, 0.553)
Si (0.000, 0.598, 0.947)
Si (0.500, 0.098, 0.553)
Si (0.500, 0.098, 0.947)
Si (0.500, 0.902, 0.053)
Si (0.500, 0.902, 0.447)

Properties
Calculated volume ... 20.8 Å³/atom
Size of the total moment ... 0.00 μB/f.u.
Energy ... -5.740 eV per atom
Symmetry ... No. 63
Crystal system ... orthorhombic

---

Here is a geometry-optimized Tb2S structure from Alexandria. Energies are from PBE.

abc: 13.261 3.842 6.278
angles: 90.00 90.00 90.00
Fractional positions:
Tb (0.040, 0.250, 0.239)
Tb (0.208, 0.250, 0.749)
Tb (0.292, 0.750, 0.249)
Tb (0.460, 0.750, 0.739)
Tb (0.540, 0.250, 0.261)
Tb (0.708, 0.250, 0.751)
Tb (0.792, 0.750, 0.251)
Tb (0.960, 0.750, 0.761)
S (0.123, 0.750, 0.495)
S (0.377, 0.250, 0.995)
S (0.623, 0.750, 0.005)
S (0.877, 0.250, 0.505)

Properties
Calculated volume ... 26.7 Å³/atom
Size of the total moment ... 0.00 μB/f.u.
Energy ... -5.729 eV per atom
Symmetry ... No. 62
Crystal system ... orthorhombic